No. 1
Here is a relaxed ReP2S2 crystal from Alexandria. Energies are from PBE.

Calculated values
**Density**: 5.22 Mg/m³
**Formation energy without anion corrections**: 0.82 eV per atom
**Energy relative to the lowest polymorph listed for this composition**: 41.6 kJ/mol of atoms

a b c (Å): 4.464 4.464 4.989
angles (deg): 90.00 90.00 90.00
Space group P4/mmm (No. 123)
Symmetry-distinct sites (fractional):
Re 0.000 0.000 0.000 (multiplicity 1)
P 0.000 0.000 0.500 (multiplicity 1)
P 0.500 0.500 0.500 (multiplicity 1)
S 0.000 0.500 0.000 (multiplicity 2)



No. 2
Here is a relaxed RePS3 crystal from Alexandria. Energies are from PBE.

Calculated values
**Density**: 6.60 Mg/m³
**Formation energy without anion corrections**: 1.24 eV per atom
**Energy relative to the lowest polymorph listed for this composition**: 46.7 kJ/mol of atoms

a b c (Å): 4.289 4.289 4.289
angles (deg): 90.00 90.00 90.00
Space group Pm-3m (No. 221)
Symmetry-distinct sites (fractional):
Re 0.000 0.000 0.000 (multiplicity 1)
P 0.500 0.500 0.500 (multiplicity 1)
S 0.000 0.500 0.500 (multiplicity 3)



No. 3
Here is a relaxed RePS crystal from Alexandria. Energies are from PBE.

Calculated values
**Density**: 7.84 Mg/m³
**Formation energy without anion corrections**: 0.42 eV per atom

a b c (Å): 4.721 12.254 3.652
angles (deg): 90.00 90.00 90.00
Space group Cmcm (No. 63)
Symmetry-distinct sites (fractional):
Re 0.000 0.107 0.250 (multiplicity 4)
P 0.000 0.215 0.750 (multiplicity 4)
S 0.000 0.390 0.750 (multiplicity 4)



No. 4
Here is a relaxed ReP2S2 crystal from Alexandria. Energies are from PBE.

Calculated values
**Density**: 6.61 Mg/m³
**Formation energy without anion corrections**: 1.23 eV per atom
**Energy relative to the lowest polymorph listed for this composition**: 81.3 kJ/mol of atoms

a b c (Å): 4.272 4.272 4.297
angles (deg): 90.00 90.00 90.00
Space group P4/mmm (No. 123)
Symmetry-distinct sites (fractional):
Re 0.000 0.000 0.000 (multiplicity 1)
P 0.500 0.500 0.000 (multiplicity 1)
P 0.500 0.500 0.500 (multiplicity 1)
S 0.000 0.500 0.500 (multiplicity 2)



No. 5
Here is a relaxed RePS3 crystal from Alexandria. Energies are from PBE.

Calculated values
**Density**: 5.36 Mg/m³
**Formation energy without anion corrections**: 0.76 eV per atom
**Energy relative to the lowest polymorph listed for this composition**: 0.0 kJ/mol of atoms

a b c (Å): 4.595 4.595 4.595
angles (deg): 90.00 90.00 90.00
Space group Pm-3m (No. 221)
Symmetry-distinct sites (fractional):
Re 0.000 0.000 0.000 (multiplicity 1)
P 0.500 0.500 0.500 (multiplicity 1)
S 0.000 0.000 0.500 (multiplicity 3)



No. 6
Here is a relaxed ReP2S2 crystal from Alexandria. Energies are from PBE.

Calculated values
**Density**: 6.64 Mg/m³
**Formation energy without anion corrections**: 1.38 eV per atom
**Energy relative to the lowest polymorph listed for this composition**: 95.8 kJ/mol of atoms

a b c (Å): 4.290 4.290 4.245
angles (deg): 90.00 90.00 90.00
Space group P4/mmm (No. 123)
Symmetry-distinct sites (fractional):
Re 0.000 0.000 0.000 (multiplicity 1)
P 0.000 0.500 0.500 (multiplicity 2)
S 0.500 0.500 0.000 (multiplicity 1)
S 0.500 0.500 0.500 (multiplicity 1)



No. 7
Here is a relaxed ReSbP2S crystal from Alexandria. Energies are from PBE.

Calculated values
**Density**: 5.49 Mg/m³
**Formation energy without anion corrections**: 1.84 eV per atom
**Energy relative to the lowest polymorph listed for this composition**: 124.0 kJ/mol of atoms

a b c (Å): 5.022 5.022 4.823
angles (deg): 90.00 90.00 90.00
Space group P4/mmm (No. 123)
Symmetry-distinct sites (fractional):
Re 0.000 0.000 0.000 (multiplicity 1)
Sb 0.500 0.500 0.500 (multiplicity 1)
P 0.000 0.500 0.500 (multiplicity 2)
S 0.500 0.500 0.000 (multiplicity 1)



No. 8
Here is a relaxed ReSbP2S crystal from Alexandria. Energies are from PBE.

Calculated values
**Density**: 6.37 Mg/m³
**Formation energy without anion corrections**: 0.55 eV per atom
**Energy relative to the lowest polymorph listed for this composition**: 0.0 kJ/mol of atoms

a b c (Å): 4.532 4.532 5.103
angles (deg): 90.00 90.00 90.00
Space group P4/mmm (No. 123)
Symmetry-distinct sites (fractional):
Re 0.000 0.000 0.000 (multiplicity 1)
Sb 0.500 0.500 0.500 (multiplicity 1)
P 0.000 0.500 0.000 (multiplicity 2)
S 0.000 0.000 0.500 (multiplicity 1)



No. 9
Here is a relaxed ScRePS2 crystal from Alexandria. Energies are from PBE.

Calculated values
**Density**: 5.38 Mg/m³
**Formation energy without anion corrections**: 0.07 eV per atom
**Energy relative to the lowest polymorph listed for this composition**: 0.0 kJ/mol of atoms

a b c (Å): 4.694 4.694 4.567
angles (deg): 90.00 90.00 90.00
Space group P4/mmm (No. 123)
Symmetry-distinct sites (fractional):
Sc 0.000 0.000 0.000 (multiplicity 1)
Re 0.500 0.500 0.500 (multiplicity 1)
P 0.500 0.500 0.000 (multiplicity 1)
S 0.000 0.500 0.500 (multiplicity 2)



No. 10
Here is a relaxed ScRePS2 crystal from Alexandria. Energies are from PBE.

Calculated values
**Density**: 4.69 Mg/m³
**Formation energy without anion corrections**: 0.86 eV per atom
**Energy relative to the lowest polymorph listed for this composition**: 76.0 kJ/mol of atoms

a b c (Å): 4.770 4.770 5.078
angles (deg): 90.00 90.00 90.00
Space group P4/mmm (No. 123)
Symmetry-distinct sites (fractional):
Sc 0.000 0.000 0.000 (multiplicity 1)
Re 0.500 0.500 0.500 (multiplicity 1)
P 0.000 0.000 0.500 (multiplicity 1)
S 0.000 0.500 0.000 (multiplicity 2)



No. 11
Here is a relaxed RePSeS2 crystal from Alexandria. Energies are from PBE.

Calculated values
**Density**: 6.34 Mg/m³
**Formation energy without anion corrections**: 1.75 eV per atom
**Energy relative to the lowest polymorph listed for this composition**: 118.8 kJ/mol of atoms

a b c (Å): 4.520 4.520 4.621
angles (deg): 90.00 90.00 90.00
Space group P4/mmm (No. 123)
Symmetry-distinct sites (fractional):
Re 0.000 0.000 0.000 (multiplicity 1)
P 0.500 0.500 0.000 (multiplicity 1)
Se 0.500 0.500 0.500 (multiplicity 1)
S 0.000 0.500 0.500 (multiplicity 2)



No. 12
Here is a relaxed RePSeS2 crystal from Alexandria. Energies are from PBE.

Calculated values
**Density**: 5.99 Mg/m³
**Formation energy without anion corrections**: 0.52 eV per atom
**Energy relative to the lowest polymorph listed for this composition**: 0.0 kJ/mol of atoms

a b c (Å): 4.492 4.492 4.946
angles (deg): 90.00 90.00 90.00
Space group P4/mmm (No. 123)
Symmetry-distinct sites (fractional):
Re 0.000 0.000 0.000 (multiplicity 1)
P 0.000 0.000 0.500 (multiplicity 1)
Se 0.500 0.500 0.500 (multiplicity 1)
S 0.000 0.500 0.000 (multiplicity 2)



No. 13
Here is a relaxed SrReP2S crystal from Alexandria. Energies are from PBE.

Calculated values
**Density**: 5.37 Mg/m³
**Formation energy without anion corrections**: -0.35 eV per atom
**Energy relative to the lowest polymorph listed for this composition**: 0.0 kJ/mol of atoms

a b c (Å): 4.521 4.521 5.564
angles (deg): 90.00 90.00 90.00
Space group P4/mmm (No. 123)
Symmetry-distinct sites (fractional):
Sr 0.000 0.000 0.000 (multiplicity 1)
Re 0.500 0.500 0.500 (multiplicity 1)
P 0.000 0.500 0.500 (multiplicity 2)
S 0.500 0.500 0.000 (multiplicity 1)



No. 14
Here is a relaxed SrReP2S crystal from Alexandria. Energies are from PBE.

Calculated values
**Density**: 3.86 Mg/m³
**Formation energy without anion corrections**: 2.01 eV per atom
**Energy relative to the lowest polymorph listed for this composition**: 228.2 kJ/mol of atoms

a b c (Å): 5.457 5.457 5.311
angles (deg): 90.00 90.00 90.00
Space group P4/mmm (No. 123)
Symmetry-distinct sites (fractional):
Sr 0.000 0.000 0.000 (multiplicity 1)
Re 0.500 0.500 0.500 (multiplicity 1)
P 0.000 0.500 0.000 (multiplicity 2)
S 0.000 0.000 0.500 (multiplicity 1)